Density functional theory data (PBEsol) for crystalline CsKCo2 at its relaxed geometry.

Calculated values
**Volume**: 474.4 Å³ per cell
**Electronic total energy**: -2.6628 eV per atom
**Formation energy from the elements**: 1.725 eV per atom
**Total moment**: 0.991 μB per atom

Unit cell a=7.7989 b=7.7989 c=7.7989 alpha=90.00 beta=90.00 gamma=90.00
Space group Fm-3m (No. 225)
Unique sites:
Cs1 0.0000 0.0000 0.0000 x4
K1 0.0000 0.0000 0.5000 x4
Co1 0.2500 0.2500 0.2500 x8



Density functional theory data (PBEsol) for crystalline CsK2CoO2 at its relaxed geometry.

Calculated values
**Volume**: 264.0 Å³ per cell
**Electronic total energy**: -4.6150 eV per atom
**Total moment**: 0.333 μB per atom

Unit cell a=5.2355 b=5.2355 c=9.6306 alpha=90.00 beta=90.00 gamma=90.00
Space group I4/mmm (No. 139)
Unique sites:
Cs1 0.0000 0.0000 0.0000 x2
K1 0.0000 0.5000 0.2500 x4
Co1 0.0000 0.0000 0.5000 x2
O1 0.0000 0.0000 0.3204 x4



Density functional theory data (PBEsol) for crystalline CsMgTiCo2 at its relaxed geometry.

Calculated values
**Volume**: 114.0 Å³ per cell
**Electronic total energy**: -3.0289 eV per atom
**Formation energy from the elements**: 2.262 eV per atom
**Total moment**: 0.549 μB per atom

Unit cell a=4.6241 b=4.6241 c=5.3335 alpha=90.00 beta=90.00 gamma=90.00
Space group P4/mmm (No. 123)
Unique sites:
Cs1 0.0000 0.0000 0.0000 x1
Mg1 0.0000 0.0000 0.5000 x1
Ti1 0.5000 0.5000 0.5000 x1
Co1 0.0000 0.5000 0.0000 x2



Density functional theory data (PBEsol) for crystalline CsCoMoPt2 at its relaxed geometry.

Calculated values
**Volume**: 108.2 Å³ per cell
**Electronic total energy**: -5.1788 eV per atom
**Formation energy from the elements**: 1.696 eV per atom
**Total moment**: 1.272 μB per atom

Unit cell a=4.6751 b=4.6751 c=4.9520 alpha=90.00 beta=90.00 gamma=90.00
Space group P4/mmm (No. 123)
Unique sites:
Cs1 0.0000 0.0000 0.0000 x1
Co1 0.0000 0.0000 0.5000 x1
Mo1 0.5000 0.5000 0.0000 x1
Pt1 0.0000 0.5000 0.5000 x2



Density functional theory data (PBEsol) for crystalline CsCoSeN2 at its relaxed geometry.

Calculated values
**Volume**: 81.6 Å³ per cell
**Electronic total energy**: -4.8162 eV per atom
**Total moment**: 0.855 μB per atom

Unit cell a=4.0912 b=4.0912 c=4.8757 alpha=90.00 beta=90.00 gamma=90.00
Space group P4/mmm (No. 123)
Unique sites:
Cs1 0.0000 0.0000 0.0000 x1
Co1 0.5000 0.5000 0.5000 x1
Se1 0.5000 0.5000 0.0000 x1
N1 0.0000 0.5000 0.5000 x2



Density functional theory data (PBEsol) for crystalline CsCoTe2N at its relaxed geometry.

Calculated values
**Volume**: 121.5 Å³ per cell
**Electronic total energy**: -4.7173 eV per atom
**Total moment**: 0.000 μB per atom

Unit cell a=5.9878 b=5.9878 c=3.3877 alpha=90.00 beta=90.00 gamma=90.00
Space group P4/mmm (No. 123)
Unique sites:
Cs1 0.0000 0.0000 0.0000 x1
Co1 0.5000 0.5000 0.5000 x1
Te1 0.0000 0.5000 0.5000 x2
N1 0.5000 0.5000 0.0000 x1



Density functional theory data (PBEsol) for crystalline CsNa3Co at its relaxed geometry.

Calculated values
**Volume**: 192.0 Å³ per cell
**Electronic total energy**: -1.9098 eV per atom
**Formation energy from the elements**: 0.666 eV per atom
**Total moment**: 0.270 μB per atom

Unit cell a=5.7690 b=5.7690 c=5.7690 alpha=90.00 beta=90.00 gamma=90.00
Space group Pm-3m (No. 221)
Unique sites:
Cs1 0.0000 0.0000 0.0000 x1
Na1 0.0000 0.5000 0.5000 x3
Co1 0.5000 0.5000 0.5000 x1



Density functional theory data (PBEsol) for crystalline CsNa2ZrCo at its relaxed geometry.

Calculated values
**Volume**: 158.4 Å³ per cell
**Electronic total energy**: -2.0702 eV per atom
**Formation energy from the elements**: 2.044 eV per atom
**Total moment**: 0.285 μB per atom

Unit cell a=5.3190 b=5.3190 c=5.5976 alpha=90.00 beta=90.00 gamma=90.00
Space group P4/mmm (No. 123)
Unique sites:
Cs1 0.0000 0.0000 0.0000 x1
Na1 0.0000 0.5000 0.0000 x2
Zr1 0.0000 0.0000 0.5000 x1
Co1 0.5000 0.5000 0.5000 x1



Density functional theory data (PBEsol) for crystalline CsCoO2 at its relaxed geometry.

Calculated values
**Volume**: 278.7 Å³ per cell
**Electronic total energy**: -5.9138 eV per atom
**Total moment**: 0.418 μB per atom

Unit cell a=5.9139 b=5.9139 c=7.9688 alpha=90.00 beta=90.00 gamma=90.00
Space group I4_1/amd (No. 141, origin choice 2)
Unique sites:
Cs1 0.0000 0.2500 0.3750 x4
Co1 0.0000 0.2500 0.8750 x4
O1 0.0000 0.0000 0.0000 x8



Density functional theory data (PBEsol) for crystalline Cs3CoO at its relaxed geometry.

Calculated values
**Volume**: 191.6 Å³ per cell
**Electronic total energy**: -3.0086 eV per atom
**Total moment**: 0.407 μB per atom

Unit cell a=5.7648 b=5.7648 c=5.7648 alpha=90.00 beta=90.00 gamma=90.00
Space group Pm-3m (No. 221)
Unique sites:
Cs1 0.0000 0.0000 0.5000 x3
Co1 0.5000 0.5000 0.5000 x1
O1 0.0000 0.0000 0.0000 x1



Density functional theory data (PBEsol) for crystalline Cs6Co2O7 at its relaxed geometry.

Calculated values
**Volume**: 679.0 Å³ per cell
**Electronic total energy**: -5.0917 eV per atom
**Total moment**: 0.672 μB per atom

Unit cell a=7.1784 b=9.6866 c=12.0063 alpha=90.00 beta=125.58 gamma=90.00
Space group P2_1/c (No. 14)
Unique sites:
Cs1 0.0590 0.1449 0.4220 x4
Cs2 0.1948 0.5282 0.4417 x4
Cs3 0.4165 0.2079 0.2858 x4
Co1 0.3225 0.6363 0.8681 x4
O1 0.0615 0.6608 0.8542 x4
O2 0.2637 0.5884 0.7069 x4
O3 0.4959 0.7112 0.4279 x4
O4 0.5000 0.0000 0.5000 x2



Density functional theory data (PBEsol) for crystalline CsCoPO4 at its relaxed geometry.

Calculated values
**Volume**: 464.6 Å³ per cell
**Electronic total energy**: -6.8988 eV per atom
**Total moment**: 0.429 μB per atom

Unit cell a=9.3213 b=9.3063 c=5.3561 alpha=90.00 beta=90.00 gamma=90.00
Space group Pna2_1 (No. 33)
Unique sites:
Cs1 0.0060 0.2069 0.0000 x4
Co1 0.1710 0.5862 0.0061 x4
P1 0.1954 0.4131 0.5040 x4
O1 0.0325 0.3862 0.5067 x4
O2 0.2275 0.7779 0.1035 x4
O3 0.2360 0.5427 0.6732 x4
O4 0.2479 0.4455 0.2336 x4